A relaxed structure of Mn2InIrCl. Source: the Alexandria database, functional PBE.

The structure in CIF format:
```
data_Mn2InIrCl
_chemical_formula_sum 'Mn2 In1 Ir1 Cl1'
_cell_length_a 4.9487
_cell_length_b 4.9487
_cell_length_c 5.1888
_cell_angle_alpha 90.00
_cell_angle_beta 90.00
_cell_angle_gamma 90.00
_space_group_name_H-M_alt 'P 4/m m m'
_space_group_IT_number 123
_space_group_name_Hall '-P 4 2'
loop_
_atom_site_label
_atom_site_type_symbol
_atom_site_fract_x
_atom_site_fract_y
_atom_site_fract_z
Mn1 Mn 0.0000 0.5000 0.0000
In1 In 0.0000 0.0000 0.5000
Ir1 Ir 0.0000 0.0000 0.0000
Cl1 Cl 0.5000 0.5000 0.5000
```

A relaxed structure of InNi2IrCl. Source: the Alexandria database, functional PBE.

The structure in CIF format:
```
data_InNi2IrCl
_chemical_formula_sum 'In1 Ni2 Ir1 Cl1'
_cell_length_a 4.7411
_cell_length_b 4.7411
_cell_length_c 4.9968
_cell_angle_alpha 90.00
_cell_angle_beta 90.00
_cell_angle_gamma 90.00
_space_group_name_H-M_alt 'P 4/m m m'
_space_group_IT_number 123
_space_group_name_Hall '-P 4 2'
loop_
_atom_site_label
_atom_site_type_symbol
_atom_site_fract_x
_atom_site_fract_y
_atom_site_fract_z
In1 In 0.0000 0.0000 0.0000
Ni1 Ni 0.0000 0.5000 0.0000
Ir1 Ir 0.5000 0.5000 0.5000
Cl1 Cl 0.0000 0.0000 0.5000
```

A relaxed structure of Rb2InIrCl6. Source: the Alexandria database, functional PBE.

The structure in CIF format:
```
data_Rb2InIrCl6
_chemical_formula_sum 'Rb8 In4 Ir4 Cl24'
_cell_length_a 10.6054
_cell_length_b 10.6054
_cell_length_c 10.6054
_cell_angle_alpha 90.00
_cell_angle_beta 90.00
_cell_angle_gamma 90.00
_space_group_name_H-M_alt 'F m -3 m'
_space_group_IT_number 225
_space_group_name_Hall '-F 4 2 3'
loop_
_atom_site_label
_atom_site_type_symbol
_atom_site_fract_x
_atom_site_fract_y
_atom_site_fract_z
Rb1 Rb 0.2500 0.2500 0.2500
In1 In 0.0000 0.0000 0.0000
Ir1 Ir 0.0000 0.0000 0.5000
Cl1 Cl 0.0000 0.0000 0.2754
```

# InIrS2Cl PBE optimized geometry
# relative energy among the computed polymorphs = 0.0 meV/atom
data_InIrS2Cl
_chemical_formula_sum 'In1 Ir1 S2 Cl1'
_cell_length_a 4.6461
_cell_length_b 4.6461
_cell_length_c 5.2174
_cell_angle_alpha 90.00
_cell_angle_beta 90.00
_cell_angle_gamma 90.00
_space_group_name_H-M_alt 'P 4/m m m'
_space_group_IT_number 123
_space_group_name_Hall '-P 4 2'
loop_
_atom_site_label
_atom_site_type_symbol
_atom_site_fract_x
_atom_site_fract_y
_atom_site_fract_z
In1 In 0.0000 0.0000 0.0000
Ir1 Ir 0.5000 0.5000 0.5000
S1 S 0.0000 0.5000 0.5000
Cl1 Cl 0.5000 0.5000 0.0000

Calculated DOS(E_F) (states/eV per atom), listed in the same order as above: 0.542; 1.451; 0.000; 1.000
Calculated ΔE_f (raw) (eV/f.u.), listed in the same order as above: 1.75; 8.43; -11.57; 0.31